Entry 1:
First-principles (PBE) data for crystalline CeHoAlRu at its relaxed geometry, as listed in Alexandria.

Cell lengths 4.9794, 4.9794, 4.9794 Å; angles 60.00, 60.00, 60.00 degrees
Site moments in Bohr magnetons follow the coordinates.
Sites, in units of the cell vectors:
Ho (0.5000, 0.5000, 0.5000)  0.00
Al (0.2500, 0.2500, 0.2500)  0.00
Ce (0.0000, 0.0000, 0.0000)  -0.14
Ru (0.7500, 0.7500, 0.7500)  0.01

For the formation enthalpy at 0 K, the calculation gives -1.1 eV/f.u.

---

Entry 2:
First-principles (PBE) data for crystalline Al2SeCl at its relaxed geometry, as listed in Alexandria.

Cell lengths 3.2137, 3.2137, 8.8992 Å; angles 90.00, 90.00, 90.00 degrees
Sites, in units of the cell vectors:
Al (0.0000, 0.0000, 0.9956)
Se (0.5000, 0.5000, 0.8503)
Cl (0.0000, 0.0000, 0.4152)
Al (0.5000, 0.5000, 0.2389)

The formation energy from raw total energies comes out at -0.296 eV per atom.

---

Entry 3:
First-principles (PBE) data for crystalline Ce2MgP3 at its relaxed geometry, as listed in Alexandria.

Cell lengths 4.0421, 4.0421, 8.9657 Å; angles 103.03, 103.03, 90.00 degrees
Site moments in Bohr magnetons follow the coordinates.
Sites, in units of the cell vectors:
Ce (0.6610, 0.6610, 0.3221)  0.39
P (0.8324, 0.8324, 0.6647)  -0.02
P (0.5000, 0.5000, 0.0000)  -0.02
P (0.1676, 0.1676, 0.3353)  -0.02
Mg (0.0000, 0.0000, 0.0000)  0.00
Ce (0.3390, 0.3390, 0.6779)  0.39

For the formation enthalpy at 0 K, the calculation gives -6.7 eV/f.u.

---

Entry 4:
First-principles (PBE) data for crystalline La2YAs at its relaxed geometry, as listed in Alexandria.

Cell lengths 7.0866, 7.0866, 7.0866 Å; angles 148.89, 140.55, 51.07 degrees
Sites, in units of the cell vectors:
Y (0.7500, 0.2500, 0.5000)
La (0.0492, 0.0492, 0.0000)
As (0.2500, 0.7500, 0.5000)
La (0.4508, 0.4508, 0.0000)

For the formation enthalpy at 0 K, the calculation gives -2.1 eV/f.u.

---

Entry 5:
First-principles (PBE) data for crystalline SrCu2Br at its relaxed geometry, as listed in Alexandria.

Cell lengths 5.3666, 5.3666, 5.3666 Å; angles 129.49, 113.14, 88.34 degrees
Sites, in units of the cell vectors:
Br (0.2398, 0.7398, 0.5000)
Sr (0.5154, 0.5154, 0.0000)
Cu (0.8337, 0.3337, 0.5000)
Cu (0.9112, 0.9112, 0.0000)

The formation energy from raw total energies comes out at -0.258 eV per atom.

---

Entry 6:
First-principles (PBE) data for crystalline HgBiAu4 at its relaxed geometry, as listed in Alexandria.

Cell lengths 5.6576, 5.6576, 5.6576 Å; angles 60.00, 60.00, 60.00 degrees
Sites, in units of the cell vectors:
Au (0.6248, 0.6248, 0.6248)
Hg (0.2500, 0.2500, 0.2500)
Au (0.6248, 0.1257, 0.6248)
Bi (0.0000, 0.0000, 0.0000)
Au (0.1257, 0.6248, 0.6248)
Au (0.6248, 0.6248, 0.1257)

For the formation enthalpy at 0 K, the calculation gives 0.3 eV/f.u.

---

Entry 7:
First-principles (PBE) data for crystalline Zr3TcNi at its relaxed geometry, as listed in Alexandria.

Cell lengths 4.7628, 4.7628, 4.7628 Å; angles 90.00, 90.00, 90.00 degrees
Sites, in units of the cell vectors:
Ni (0.0000, 0.0000, 0.0000)
Zr (0.5000, 0.0000, 0.0000)
Zr (0.0000, 0.0000, 0.5000)
Zr (0.0000, 0.5000, 0.0000)
Tc (0.5000, 0.5000, 0.5000)

For the formation enthalpy at 0 K, the calculation gives 2.8 eV/f.u.

---

Entry 8:
First-principles (PBE) data for crystalline Ac2CdBi3Rh4 at its relaxed geometry, as listed in Alexandria.

Cell lengths 4.6653, 4.6653, 11.1102 Å; angles 90.00, 90.00, 90.00 degrees
Sites, in units of the cell vectors:
Bi (0.0000, 0.0000, 0.5000)
Rh (0.5000, 0.0000, 0.6326)
Rh (0.0000, 0.5000, 0.3674)
Bi (0.0000, 0.5000, 0.1282)
Cd (0.5000, 0.5000, 0.5000)
Rh (0.0000, 0.0000, 0.0000)
Rh (0.5000, 0.5000, 0.0000)
Ac (0.0000, 0.5000, 0.7500)
Bi (0.5000, 0.0000, 0.8718)
Ac (0.5000, 0.0000, 0.2500)

For the formation enthalpy at 0 K, the calculation gives -5.0 eV/f.u.

---

Entry 9:
First-principles (PBE) data for crystalline Sr3Eu at its relaxed geometry, as listed in Alexandria.

Cell lengths 4.1615, 7.2689, 8.0672 Å; angles 116.78, 104.95, 90.00 degrees
Site moments in Bohr magnetons follow the coordinates.
Sites, in units of the cell vectors:
Sr (0.2521, 0.5840, 0.5042)  0.01
Eu (0.0000, 0.0018, 0.0000)  6.98
Sr (0.7479, 0.0798, 0.4958)  0.01
Sr (0.5000, 0.5011, 0.0000)  0.03

For the formation enthalpy at 0 K, the calculation gives 0.1 eV/f.u.

---

Entry 10:
First-principles (PBE) data for crystalline NdZnGePt3 at its relaxed geometry, as listed in Alexandria.

Cell lengths 5.6854, 6.8745, 6.9320 Å; angles 119.73, 90.00, 90.00 degrees
Sites, in units of the cell vectors:
Pt (0.0000, 0.7077, 0.0000)
Pt (0.5000, 0.2923, 0.0000)
Ge (0.2500, 0.3738, 0.7477)
Pt (0.5000, 0.7077, 0.0000)
Pt (0.7500, 0.8262, 0.6524)
Zn (0.2500, 0.9570, 0.9139)
Pt (0.2500, 0.1738, 0.3476)
Zn (0.7500, 0.0430, 0.0861)
Pt (0.0000, 0.2923, 0.0000)
Nd (0.2500, 0.7086, 0.4172)
Nd (0.7500, 0.2914, 0.5828)
Ge (0.7500, 0.6262, 0.2523)

For the formation enthalpy at 0 K, the calculation gives -3.9 eV/f.u.

---

Entry 11:
First-principles (PBE) data for crystalline Bi2Pt2I at its relaxed geometry, as listed in Alexandria.

Cell lengths 4.0229, 4.0229, 9.0106 Å; angles 77.10, 77.10, 90.00 degrees
Sites, in units of the cell vectors:
Bi (0.3633, 0.3633, 0.2733)
Pt (0.7500, 0.2500, 0.5000)
Bi (0.6367, 0.6367, 0.7267)
Pt (0.2500, 0.7500, 0.5000)
I (0.0000, 0.0000, 0.0000)

The formation energy from raw total energies comes out at -0.272 eV per atom.

---

Entry 12:
First-principles (PBE) data for crystalline Ac4Tl3Ru at its relaxed geometry, as listed in Alexandria.

Cell lengths 6.5319, 10.8325, 8.9224 Å; angles 90.00, 90.00, 90.00 degrees
Sites, in units of the cell vectors:
Tl (0.6543, 0.8702, 0.0000)
Ac (0.6127, 0.1898, 0.0000)
Ac (0.0167, 0.3661, 0.2519)
Ru (0.0429, 0.2207, 0.0000)
Ac (0.5167, 0.6339, 0.2481)
Ac (0.6434, 0.0281, 0.5000)
Tl (0.0143, 0.6867, 0.1661)
Ac (0.1127, 0.8102, 0.5000)
Ac (0.0167, 0.3661, 0.7481)
Tl (0.0143, 0.6867, 0.8339)
Tl (0.5143, 0.3133, 0.6661)
Ac (0.5167, 0.6339, 0.7519)
Tl (0.1543, 0.1298, 0.5000)
Ac (0.1434, 0.9719, 0.0000)
Ru (0.5429, 0.7793, 0.5000)
Tl (0.5143, 0.3133, 0.3339)

For the formation enthalpy at 0 K, the calculation gives -0.1 eV/f.u.

---

Entry 13:
First-principles (PBE) data for crystalline AlSbTe4 at its relaxed geometry, as listed in Alexandria.

Cell lengths 6.3385, 6.3385, 6.3385 Å; angles 60.00, 60.00, 60.00 degrees
Sites, in units of the cell vectors:
Al (0.7500, 0.7500, 0.7500)
Te (0.3746, 0.3746, 0.8763)
Te (0.8763, 0.3746, 0.3746)
Te (0.3746, 0.8763, 0.3746)
Te (0.3746, 0.3746, 0.3746)
Sb (0.0000, 0.0000, 0.0000)

The formation energy from raw total energies comes out at 0.552 eV per atom.

---

Entry 14:
First-principles (PBE) data for crystalline RbAs2AuSe at its relaxed geometry, as listed in Alexandria.

Cell lengths 6.6800, 6.6800, 6.1105 Å; angles 90.00, 90.00, 90.00 degrees
Site moments in Bohr magnetons follow the coordinates.
Sites, in units of the cell vectors:
Rb (0.0000, 0.0000, 0.0000)  0.06
Au (0.5000, 0.5000, 0.5000)  -0.19
Se (0.0000, 0.0000, 0.5000)  0.18
As (0.5000, 0.0000, 0.0000)  1.14
As (0.0000, 0.5000, 0.0000)  1.14

The formation energy from raw total energies comes out at 1.691 eV per atom.

---

Entry 15:
First-principles (PBE) data for crystalline RbTl2Pt at its relaxed geometry, as listed in Alexandria.

Cell lengths 4.4337, 4.4337, 8.2013 Å; angles 74.32, 74.32, 60.00 degrees
Sites, in units of the cell vectors:
Rb (0.5000, 0.5000, 0.5000)
Pt (0.0000, 0.0000, 0.0000)
Tl (0.7203, 0.7203, 0.8390)
Tl (0.2797, 0.2797, 0.1610)

For the formation enthalpy at 0 K, the calculation gives -0.5 eV/f.u.

---

Entry 16:
First-principles (PBE) data for crystalline K2CdGaAu2 at its relaxed geometry, as listed in Alexandria.

Cell lengths 6.7211, 7.5026, 8.6811 Å; angles 115.60, 112.78, 90.00 degrees
Sites, in units of the cell vectors:
Cd (0.2500, 0.0000, 0.0000)
K (0.8216, 0.5551, 0.6431)
K (0.1784, 0.4449, 0.3569)
Ga (0.2500, 0.5000, 0.0000)
K (0.3216, 0.0880, 0.6431)
Cd (0.7500, 0.0000, 0.0000)
Au (0.9239, 0.1985, 0.8478)
Au (0.4239, 0.6493, 0.8478)
Au (0.0761, 0.8015, 0.1522)
K (0.6784, 0.9120, 0.3569)
Au (0.5761, 0.3507, 0.1522)
Ga (0.7500, 0.5000, 0.0000)

For the formation enthalpy at 0 K, the calculation gives -1.7 eV/f.u.

---

Entry 17:
First-principles (PBE) data for crystalline Dy12NiBi6 at its relaxed geometry, as listed in Alexandria.

Cell lengths 8.6474, 8.6474, 8.6474 Å; angles 99.80, 99.80, 99.80 degrees
Sites, in units of the cell vectors:
Bi (0.1165, 0.6485, 0.3169)
Dy (0.0567, 0.9952, 0.3064)
Dy (0.5400, 0.2014, 0.4116)
Dy (0.2014, 0.4116, 0.5400)
Dy (0.6936, 0.9433, 0.0048)
Bi (0.6485, 0.3169, 0.1165)
Bi (0.6831, 0.8835, 0.3515)
Dy (0.7986, 0.5884, 0.4600)
Bi (0.3515, 0.6831, 0.8835)
Dy (0.3064, 0.0567, 0.9952)
Dy (0.4116, 0.5400, 0.2014)
Bi (0.3169, 0.1165, 0.6485)
Dy (0.9952, 0.3064, 0.0567)
Bi (0.8835, 0.3515, 0.6831)
Dy (0.4600, 0.7986, 0.5884)
Dy (0.0048, 0.6936, 0.9433)
Dy (0.5884, 0.4600, 0.7986)
Ni (0.0000, 0.0000, 0.0000)
Dy (0.9433, 0.0048, 0.6936)

For the formation enthalpy at 0 K, the calculation gives -8.6 eV/f.u.

---

Entry 18:
First-principles (PBE) data for crystalline Na3AlGa8 at its relaxed geometry, as listed in Alexandria.

Cell lengths 5.5906, 5.5906, 9.5920 Å; angles 73.06, 73.06, 60.00 degrees
Sites, in units of the cell vectors:
Ga (0.1876, 0.1876, 0.4373)
Ga (0.9398, 0.9398, 0.6823)
Ga (0.4381, 0.9398, 0.6823)
Na (0.3763, 0.3763, 0.8710)
Ga (0.6900, 0.6900, 0.9301)
Ga (0.4374, 0.9373, 0.1878)
Na (0.9984, 0.9984, 0.0047)
Ga (0.4374, 0.4374, 0.1878)
Na (0.5008, 0.5008, 0.4975)
Ga (0.9373, 0.4374, 0.1878)
Al (0.8669, 0.8669, 0.3992)
Ga (0.9398, 0.4381, 0.6823)

For the formation enthalpy at 0 K, the calculation gives -0.5 eV/f.u.

---

Entry 19:
First-principles (PBE) data for crystalline Zn2GeH at its relaxed geometry, as listed in Alexandria.

Cell lengths 3.6866, 3.6866, 6.6109 Å; angles 73.81, 73.81, 60.00 degrees
Sites, in units of the cell vectors:
Zn (0.0893, 0.0893, 0.7320)
Ge (0.5000, 0.5000, 0.5000)
H (0.0000, 0.0000, 0.0000)
Zn (0.9107, 0.9107, 0.2680)

As for the total DFT energy (no corrections): -2.403 eV/atom.

---

Entry 20:
First-principles (PBE) data for crystalline Cs2TiAlI6 at its relaxed geometry, as listed in Alexandria.

Cell lengths 8.4806, 8.4806, 8.4795 Å; angles 60.00, 60.00, 90.00 degrees
Site moments in Bohr magnetons follow the coordinates.
Sites, in units of the cell vectors:
Cs (0.7500, 0.2500, 0.5000)  0.00
I (0.7626, 0.7626, 0.4748)  -0.01
Cs (0.2500, 0.7500, 0.5000)  0.00
I (0.2374, 0.7626, 0.0000)  -0.01
I (0.7626, 0.2374, 0.0000)  -0.01
I (0.7626, 0.7626, 0.0000)  -0.01
I (0.2374, 0.2374, 0.5252)  -0.01
I (0.2374, 0.2374, 0.0000)  -0.01
Ti (0.0000, 0.0000, 0.0000)  0.94
Al (0.5000, 0.5000, 0.0000)  -0.01

The formation energy from raw total energies comes out at -0.915 eV per atom.

---

Entry 21:
First-principles (PBE) data for crystalline Th2SbSe2 at its relaxed geometry, as listed in Alexandria.

Cell lengths 3.3055, 3.3055, 16.7288 Å; angles 90.00, 90.00, 90.00 degrees
Sites, in units of the cell vectors:
Th (0.5000, 0.5000, 0.1919)
Th (0.5000, 0.5000, 0.8081)
Se (0.5000, 0.5000, 0.6414)
Se (0.5000, 0.5000, 0.3586)
Sb (0.5000, 0.5000, 0.0000)

The formation energy from raw total energies comes out at 0.220 eV per atom.

---

Entry 22:
First-principles (PBE) data for crystalline CaAlCd at its relaxed geometry, as listed in Alexandria.

Cell lengths 6.3837, 6.3838, 3.5186 Å; angles 74.00, 74.00, 31.99 degrees
Sites, in units of the cell vectors:
Al (0.0159, 0.0159, 0.9841)
Cd (0.6484, 0.6484, 0.3516)
Ca (0.3356, 0.3357, 0.6644)

For the formation enthalpy at 0 K, the calculation gives -0.5 eV/f.u.

---

Entry 23:
First-principles (PBE) data for crystalline La11Dy9Ho4 at its relaxed geometry, as listed in Alexandria.

Cell lengths 3.6996, 15.5837, 15.5837 Å; angles 112.98, 90.00, 90.00 degrees
Sites, in units of the cell vectors:
La (0.0000, 0.3686, 0.6314)
La (0.0000, 0.0426, 0.4044)
Ho (0.5000, 0.7592, 0.5553)
Dy (0.5000, 0.8336, 0.3689)
Ho (0.5000, 0.4447, 0.2408)
Dy (0.5000, 0.2140, 0.0693)
Ho (0.5000, 0.5553, 0.7592)
Dy (0.5000, 0.3689, 0.8336)
La (0.0000, 0.9574, 0.5956)
La (0.0000, 0.2932, 0.2932)
La (0.0000, 0.5956, 0.9574)
Dy (0.5000, 0.6311, 0.1664)
La (0.0000, 0.4044, 0.0426)
Dy (0.5000, 0.1664, 0.6311)
Dy (0.5000, 0.7860, 0.9307)
Dy (0.5000, 0.9307, 0.7860)
Ho (0.5000, 0.2408, 0.4447)
La (0.0000, 0.6314, 0.3686)
La (0.0000, 0.0000, 0.0000)
La (0.0000, 0.7068, 0.7068)
Dy (0.5000, 0.5000, 0.5000)
Dy (0.5000, 0.0693, 0.2140)
La (0.0000, 0.1597, 0.8403)
La (0.0000, 0.8403, 0.1597)

For the formation enthalpy at 0 K, the calculation gives 1.6 eV/f.u.

---

Entry 24:
First-principles (PBE) data for crystalline CoMoAs4 at its relaxed geometry, as listed in Alexandria.

Cell lengths 5.3059, 5.3059, 5.3059 Å; angles 60.00, 60.00, 60.00 degrees
Site moments in Bohr magnetons follow the coordinates.
Sites, in units of the cell vectors:
As (0.8758, 0.3747, 0.3747)  -0.01
Co (0.7500, 0.7500, 0.7500)  1.66
As (0.3747, 0.8758, 0.3747)  -0.01
As (0.3747, 0.3747, 0.8758)  -0.01
Mo (0.0000, 0.0000, 0.0000)  0.04
As (0.3747, 0.3747, 0.3747)  -0.01

For the formation enthalpy at 0 K, the calculation gives 5.7 eV/f.u.

---

Entry 25:
First-principles (PBE) data for crystalline GeBTeAu2 at its relaxed geometry, as listed in Alexandria.

Cell lengths 5.2316, 5.6176, 5.2316 Å; angles 90.00, 90.00, 90.00 degrees
Sites, in units of the cell vectors:
B (0.5000, 0.5000, 0.5000)
Au (0.5000, 0.0000, 0.0000)
Au (0.0000, 0.0000, 0.5000)
Ge (0.0000, 0.5000, 0.0000)
Te (0.0000, 0.0000, 0.0000)

The formation energy from raw total energies comes out at 1.599 eV per atom.